[1]
Ba2FeRe: optimized geometry, GGA-PBE.

Cell lengths 4.991, 4.991, 7.740 Å; angles 86.93, 86.93, 35.95 degrees
Each line ends with the local moment (μB).
Positions (direct):
Ba 0.998 0.998 0.006  -0.08
Re 0.250 0.250 0.250  0.87
Ba 0.502 0.502 0.494  -0.08
Fe 0.750 0.750 0.750  2.97

Values from the calculation:
Its formation energy is 1.505 eV per atom. The density of states at the Fermi level is 5.76 states/eV per cell. The value obtained for the magnetization is 3.65 Bohr magnetons per cell.

[2]
CaMg2Hg: optimized geometry, GGA-PBE.

Cell lengths 5.165, 5.165, 5.185 Å; angles 120.22, 120.22, 89.19 degrees
Positions (direct):
Ca 0.500 0.500 0.000
Hg 0.249 0.751 0.500
Mg 0.000 0.000 0.000
Mg 0.751 0.249 0.500

Values from the calculation:
Its formation energy is -0.239 eV per atom. The density of states at the Fermi level is 2.03 states/eV per cell. The value obtained for the magnetization is 0.00 Bohr magnetons per cell.

[3]
ScTeRu3: optimized geometry, GGA-PBE.

Cell lengths 4.756, 4.756, 4.756 Å; angles 90.00, 90.00, 90.00 degrees
Positions (direct):
Ru 0.500 0.000 0.000
Sc 0.500 0.500 0.500
Ru 0.000 0.500 0.000
Ru 0.000 0.000 0.500
Te 0.000 0.000 0.000

Values from the calculation:
The uncorrected formation energy is 4.551 eV per formula unit. The density of states at the Fermi level is 5.47 states/eV per cell. The value obtained for the magnetization is 0.00 Bohr magnetons per cell.

[4]
Ac4CeY3Se8: optimized geometry, GGA-PBE.

Cell lengths 8.461, 8.712, 8.461 Å; angles 119.06, 120.00, 90.00 degrees
Each line ends with the local moment (μB).
Positions (direct):
Se 0.244 0.724 0.981  0.00
Ac 0.500 0.000 0.000  0.00
Ac 0.500 0.000 0.500  0.00
Se 0.263 0.276 0.019  0.00
Y 0.500 0.500 0.500  0.01
Se 0.260 0.279 0.519  0.00
Se 0.740 0.721 0.481  0.00
Ac 0.000 0.000 0.500  0.00
Se 0.756 0.276 0.512  0.00
Se 0.737 0.724 0.981  0.00
Y 0.000 0.500 0.500  0.01
Se 0.244 0.724 0.488  0.00
Se 0.756 0.276 0.019  0.00
Y 0.500 0.500 0.000  0.01
Ce 0.000 0.500 0.000  0.73
Ac 0.000 0.000 0.000  0.00

Values from the calculation:
The uncorrected formation energy is -28.995 eV per formula unit. The density of states at the Fermi level is 12.89 states/eV per cell. The value obtained for the magnetization is 0.91 Bohr magnetons per cell.

What did the second record say?
CaMg2Hg: optimized geometry, GGA-PBE.

Cell lengths 5.165, 5.165, 5.185 Å; angles 120.22, 120.22, 89.19 degrees
Positions (direct):
Ca 0.500 0.500 0.000
Hg 0.249 0.751 0.500
Mg 0.000 0.000 0.000
Mg 0.751 0.249 0.500

Values from the calculation:
Its formation energy is -0.239 eV per atom. The density of states at the Fermi level is 2.03 states/eV per cell. The value obtained for the magnetization is 0.00 Bohr magnetons per cell.

> What is the magnetization in the fourth record?

0.91 Bohr magnetons per cell

> Look up the magnetization of the third one.

0.00 Bohr magnetons per cell

> magnetization of number 2 (CaMg2Hg)?

0.00 Bohr magnetons per cell